Here is an optimized crystal structure of Cs2In4Hg3Pb from the Alexandria database. Energies are from PBE-GGA.

SG: P-4m2, No. 115
Total magnetic moment: 0.00 μB per formula unit
Calculated volume: 34.6 A^3/atom
Formation energy from the elements: -0.1304 eV per atom

```
10
Lattice="5.272 0.000 0.000 0.000 5.272 0.000 0.000 0.000 12.440" Properties=species:S:1:pos:R:3 pbc="T T T"
Cs 0.000 2.636 3.098
Cs 2.636 0.000 9.342
In 0.000 0.000 0.000
In 0.000 2.636 7.851
In 2.636 0.000 4.590
In 2.636 2.636 0.000
Hg 0.000 2.636 10.873
Hg 2.636 0.000 1.568
Hg 2.636 2.636 6.220
Pb 0.000 0.000 6.220
```